{"formula": "CrSiW", "functional": "PBE", "state": "optimized geometry", "lattice_angstrom": [[6.243, -0.016, 0.012], [5.473, 2.588, 0.004], [0.770, -0.658, 2.519]], "species": ["Si", "Cr", "W"], "frac_coords": [[0.340, 0.340, 0.660], [0.992, 0.992, 0.008], [0.668, 0.668, 0.332]], "space_group": "No. 42", "magmom_total_mub_per_atom": 0.000, "e_form_raw_ev_per_atom": 0.06}

=====

{"formula": "AlTe2S6", "functional": "PBE", "state": "optimized geometry", "lattice_angstrom": [[3.622, 0.000, 0.000], [-1.811, 6.285, -2.639], [0.000, -1.970, 11.190]], "species": ["Al", "S", "S", "S", "S", "S", "S", "Te", "Te"], "frac_coords": [[0.000, 0.000, 0.500], [0.997, 0.993, 0.709], [0.003, 0.007, 0.291], [0.671, 0.342, 0.081], [0.353, 0.705, 0.411], [0.647, 0.295, 0.589], [0.329, 0.658, 0.919], [0.335, 0.670, 0.181], [0.665, 0.330, 0.819]], "space_group": "No. 12", "magmom_total_mub_per_atom": 0.000, "e_form_raw_ev_per_atom": -0.18}

=====

{"formula": "Pm2Sm7Y3", "functional": "PBE", "state": "optimized geometry", "lattice_angstrom": [[-0.130, 3.428, -1.221], [-5.394, 0.606, 2.275], [8.651, 5.962, 15.821]], "species": ["Y", "Y", "Y", "Sm", "Sm", "Sm", "Sm", "Sm", "Sm", "Sm", "Pm", "Pm"], "frac_coords": [[0.000, 0.783, 0.632], [0.000, 0.217, 0.368], [0.500, 0.500, 0.000], [0.500, 0.742, 0.464], [0.500, 0.258, 0.536], [0.500, 0.179, 0.178], [0.000, 0.677, 0.144], [0.000, 0.000, 0.000], [0.500, 0.821, 0.822], [0.000, 0.323, 0.856], [0.500, 0.295, 0.704], [0.500, 0.705, 0.296]], "e_above_lowest_polymorph_mev_per_atom": 0, "space_group": "No. 10", "magmom_total_mub_per_atom": 0.000}

=====

{"formula": "Tl3Cl", "functional": "PBE", "state": "optimized geometry", "lattice_angstrom": [[-1.824, -0.312, 5.388], [0.816, -5.489, -1.287], [3.604, 0.246, 1.234]], "species": ["Tl", "Tl", "Tl", "Cl"], "frac_coords": [[0.500, 0.500, 0.000], [0.500, 0.000, 0.500], [0.000, 0.500, 0.500], [0.000, 0.000, 0.000]], "e_above_lowest_polymorph_mev_per_atom": 14, "space_group": "No. 65", "magmom_total_mub_per_atom": 0.000, "e_form_raw_ev_per_atom": -0.36}

=====

{"formula": "Cu7Si2", "functional": "PBE", "state": "optimized geometry", "lattice_angstrom": [[4.081, 0.000, 0.000], [-2.040, 3.534, 0.000], [0.000, 0.000, 7.553]], "species": ["Cu", "Cu", "Cu", "Cu", "Cu", "Cu", "Cu", "Si", "Si"], "frac_coords": [[0.333, 0.667, 0.460], [0.000, 0.000, 0.671], [0.000, 0.000, 0.329], [0.000, 0.000, 0.000], [0.333, 0.667, 0.121], [0.667, 0.333, 0.540], [0.667, 0.333, 0.879], [0.333, 0.667, 0.780], [0.667, 0.333, 0.220]], "space_group": "No. 164", "magmom_total_mub_per_atom": 0.000, "e_form_raw_ev_per_atom": -0.02}

=====

{"formula": "MnCuSi2", "functional": "PBE", "state": "optimized geometry", "lattice_angstrom": [[-5.527, 1.359, 5.568], [-5.030, -1.306, 6.032], [-3.416, 0.611, 7.166]], "species": ["Cu", "Si", "Si", "Mn"], "frac_coords": [[0.502, 0.502, 0.502], [0.003, 0.003, 0.003], [0.249, 0.249, 0.249], [0.746, 0.746, 0.746]], "space_group": "No. 160", "magmom_total_mub_per_atom": 0.543, "e_form_raw_ev_per_atom": 0.19}

=====

{"formula": "Th2Ga3GePt4", "functional": "PBE", "state": "optimized geometry", "lattice_angstrom": [[-1.261, 0.563, -4.123], [-0.856, -4.250, -0.318], [-9.595, 1.696, 3.166]], "species": ["Ge", "Pt", "Pt", "Pt", "Pt", "Th", "Th", "Ga", "Ga", "Ga"], "frac_coords": [[0.500, 0.500, 0.500], [0.000, 0.500, 0.372], [0.500, 0.000, 0.628], [0.000, 0.000, 0.000], [0.500, 0.500, 0.000], [0.000, 0.500, 0.753], [0.500, 0.000, 0.247], [0.000, 0.000, 0.500], [0.000, 0.500, 0.132], [0.500, 0.000, 0.868]], "energy_ev_per_atom": -6.221, "space_group": "No. 115", "magmom_total_mub_per_atom": 0.000}

=====

{"formula": "Cd4NiAg", "functional": "PBE", "state": "optimized geometry", "lattice_angstrom": [[4.249, 0.000, 0.000], [2.125, 4.046, 0.206], [2.125, 0.864, 7.751]], "species": ["Cd", "Cd", "Cd", "Cd", "Ag", "Ni"], "frac_coords": [[0.870, 0.918, 0.342], [0.635, 0.618, 0.111], [0.365, 0.382, 0.889], [0.130, 0.082, 0.658], [0.500, 0.500, 0.500], [0.000, 0.000, 0.000]], "e_above_lowest_polymorph_mev_per_atom": 84, "space_group": "No. 12", "magmom_total_mub_per_atom": 0.000}

=====

{"formula": "Sm2Sb2S7", "functional": "PBE", "state": "optimized geometry", "lattice_angstrom": [[3.899, 0.000, 0.000], [1.949, 8.522, -0.169], [1.949, 3.892, 7.583]], "species": ["Sb", "Sb", "S", "S", "S", "S", "S", "S", "S", "Sm", "Sm"], "frac_coords": [[0.243, 0.402, 0.112], [0.757, 0.888, 0.598], [0.394, 0.696, 0.516], [0.137, 0.124, 0.602], [0.606, 0.484, 0.304], [0.824, 0.073, 0.278], [0.500, 0.988, 0.012], [0.176, 0.722, 0.927], [0.863, 0.398, 0.876], [0.000, 0.772, 0.228], [0.500, 0.305, 0.695]], "space_group": "No. 44", "magmom_total_mub_per_atom": 0.000, "e_form_raw_ev_per_atom": -0.82}

=====

{"formula": "Re2IrW", "functional": "PBE", "state": "optimized geometry", "lattice_angstrom": [[3.847, 0.000, 0.000], [0.000, 3.847, 0.000], [1.923, 1.923, 9.075]], "species": ["Ir", "Ir", "Re", "Re", "Re", "Re", "W", "W"], "frac_coords": [[0.750, 0.250, 0.500], [0.000, 0.000, 0.000], [0.375, 0.346, 0.750], [0.096, 0.625, 0.250], [0.875, 0.904, 0.750], [0.654, 0.125, 0.250], [0.250, 0.750, 0.500], [0.500, 0.500, 0.000]], "e_above_lowest_polymorph_mev_per_atom": 888, "space_group": "No. 122", "magmom_total_mub_per_atom": 0.000}

=====

{"formula": "Zr3Zn3Ni2", "functional": "PBE", "state": "optimized geometry", "lattice_angstrom": [[-3.852, -1.053, -3.226], [3.246, -5.806, -1.980], [-7.079, -7.696, 10.962]], "species": ["Zn", "Zn", "Zn", "Zn", "Zn", "Zn", "Zn", "Zn", "Zn", "Zn", "Zn", "Zn", "Zr", "Zr", "Zr", "Zr", "Zr", "Zr", "Zr", "Zr", "Zr", "Zr", "Zr", "Zr", "Ni", "Ni", "Ni", "Ni", "Ni", "Ni", "Ni", "Ni"], "frac_coords": [[0.662, 0.320, 0.750], [0.397, 0.679, 0.972], [0.603, 0.321, 0.028], [0.103, 0.179, 0.528], [0.897, 0.821, 0.472], [0.838, 0.820, 0.750], [0.397, 0.679, 0.528], [0.897, 0.821, 0.028], [0.338, 0.680, 0.250], [0.162, 0.180, 0.250], [0.603, 0.321, 0.472], [0.103, 0.179, 0.972], [0.157, 0.166, 0.750], [0.343, 0.666, 0.750], [0.619, 0.034, 0.611], [0.881, 0.534, 0.611], [0.381, 0.966, 0.389], [0.619, 0.034, 0.889], [0.119, 0.466, 0.111], [0.843, 0.834, 0.250], [0.881, 0.534, 0.889], [0.119, 0.466, 0.389], [0.381, 0.966, 0.111], [0.657, 0.334, 0.250], [0.876, 0.113, 0.379], [0.376, 0.387, 0.879], [0.624, 0.613, 0.121], [0.124, 0.887, 0.879], [0.124, 0.887, 0.621], [0.624, 0.613, 0.379], [0.876, 0.113, 0.121], [0.376, 0.387, 0.621]], "energy_ev_per_atom": -5.423, "space_group": "No. 62", "magmom_total_mub_per_atom": 0.000}

=====

{"formula": "La2Y5Tm4", "functional": "PBE", "state": "optimized geometry", "lattice_angstrom": [[-11.477, -3.918, -2.138], [-9.726, -6.189, -4.329], [-2.351, -6.873, 5.244]], "species": ["Y", "Y", "Y", "Y", "Y", "Tm", "Tm", "Tm", "Tm", "La", "La"], "frac_coords": [[0.888, 0.888, 0.427], [0.112, 0.112, 0.573], [0.128, 0.128, 0.932], [0.872, 0.872, 0.068], [0.500, 0.500, 0.000], [0.322, 0.322, 0.829], [0.958, 0.958, 0.698], [0.042, 0.042, 0.302], [0.678, 0.678, 0.171], [0.733, 0.733, 0.668], [0.267, 0.267, 0.332]], "e_above_lowest_polymorph_mev_per_atom": 0, "space_group": "No. 12", "magmom_total_mub_per_atom": 0.000}

=====

Q: What is the formula in the eighth record?
A: Cd4NiAg

=====

What did the eleventh record say?
{"formula": "Zr3Zn3Ni2", "functional": "PBE", "state": "optimized geometry", "lattice_angstrom": [[-3.852, -1.053, -3.226], [3.246, -5.806, -1.980], [-7.079, -7.696, 10.962]], "species": ["Zn", "Zn", "Zn", "Zn", "Zn", "Zn", "Zn", "Zn", "Zn", "Zn", "Zn", "Zn", "Zr", "Zr", "Zr", "Zr", "Zr", "Zr", "Zr", "Zr", "Zr", "Zr", "Zr", "Zr", "Ni", "Ni", "Ni", "Ni", "Ni", "Ni", "Ni", "Ni"], "frac_coords": [[0.662, 0.320, 0.750], [0.397, 0.679, 0.972], [0.603, 0.321, 0.028], [0.103, 0.179, 0.528], [0.897, 0.821, 0.472], [0.838, 0.820, 0.750], [0.397, 0.679, 0.528], [0.897, 0.821, 0.028], [0.338, 0.680, 0.250], [0.162, 0.180, 0.250], [0.603, 0.321, 0.472], [0.103, 0.179, 0.972], [0.157, 0.166, 0.750], [0.343, 0.666, 0.750], [0.619, 0.034, 0.611], [0.881, 0.534, 0.611], [0.381, 0.966, 0.389], [0.619, 0.034, 0.889], [0.119, 0.466, 0.111], [0.843, 0.834, 0.250], [0.881, 0.534, 0.889], [0.119, 0.466, 0.389], [0.381, 0.966, 0.111], [0.657, 0.334, 0.250], [0.876, 0.113, 0.379], [0.376, 0.387, 0.879], [0.624, 0.613, 0.121], [0.124, 0.887, 0.879], [0.124, 0.887, 0.621], [0.624, 0.613, 0.379], [0.876, 0.113, 0.121], [0.376, 0.387, 0.621]], "energy_ev_per_atom": -5.423, "space_group": "No. 62", "magmom_total_mub_per_atom": 0.000}